Here is a relaxed structure of Mg2GaCo5B2 from the Alexandria database. Energies are from PBE-GGA.

```
Mg2GaCo5B2
1.0
2.7838 0.0000 0.0000
0.0000 8.8349 0.0000
0.0000 0.0000 8.8349
Co Mg Ga B
10 4 2 4
Cartesian
1.3919 3.8163 2.4611
1.3919 0.6011 6.8785
1.3919 1.9564 0.6011
1.3919 5.0185 6.3738
1.3919 8.2337 1.9564
1.3919 6.8785 8.2337
1.3919 0.0000 4.4174
1.3919 4.4174 0.0000
1.3919 6.3738 3.8163
1.3919 2.4611 5.0185
0.0000 1.5645 2.8530
0.0000 7.2704 5.9819
0.0000 5.9819 1.5645
0.0000 2.8530 7.2704
0.0000 4.4174 4.4174
0.0000 0.0000 0.0000
0.0000 5.5059 7.7464
0.0000 7.7464 3.3289
0.0000 3.3289 1.0885
0.0000 1.0885 5.5059
```

Calculated values
SG: P4/mbm (127)
Final energy in eV/atom: -5.8092
ΔH_f (0 K) in eV per formula unit: -2.99